# 1
Density functional theory data (SCAN) for MnReGe2 at its PBEsol-relaxed geometry.

DFT formation energy = 141 meV per atom

Unit cell a=4.235 b=4.235 c=4.235 alpha=60.00 beta=60.00 gamma=60.00
Last column: magnetic moment on the atom in μB.
Positions (direct):
Re: 0.500 0.500 0.500  -0.18
Ge: 0.250 0.250 0.250  -0.09
Ge: 0.750 0.750 0.750  -0.09
Mn: 0.000 0.000 0.000  2.54


# 2
Density functional theory data (SCAN) for MnGeRh3 at its PBEsol-relaxed geometry.

DFT formation energy = 302 meV per atom

Unit cell a=4.442 b=4.442 c=4.442 alpha=90.00 beta=90.00 gamma=90.00
Last column: magnetic moment on the atom in μB.
Positions (direct):
Ge: 0.000 0.000 0.000  -0.02
Mn: 0.500 0.500 0.500  4.50
Rh: 0.000 0.500 0.000  0.45
Rh: 0.000 0.000 0.500  0.45
Rh: 0.500 0.000 0.000  0.45


Computed values of raw total energy (unit: eV per atom) for the preceding records, in sequence: -31.741, -27.430.